Computed, not measured: a relaxed LuZnIrAu crystal at the PBE level of DFT.

## Properties
Energy of formation from the pure elements = -520 meV per atom
Calculated total energy = -80.05 eV per cell

Lattice parameters (Å, degrees): 6.5754 6.5754 6.5754 90.00 90.00 90.00
Closest atoms and distances in Å follow each position.
Space group F-43m (No. 216)
Inequivalent atoms, fractional coordinates:
Lu1 0.0000 0.0000 0.0000  4 Ir 2.85, 4 Au 2.85
Zn1 0.0000 0.0000 0.5000  4 Au 2.85, 4 Ir 2.85
Ir1 0.2500 0.2500 0.7500  4 Zn 2.85, 4 Lu 2.85
Au1 0.2500 0.2500 0.2500  4 Lu 2.85, 4 Zn 2.85